DFT (PBE) results for a geometry-optimized Tl2Hg2Sb structure.

Calculated values
* V: 30.5 Å³/atom
* crystal system: tetragonal
* magnetization: 0.0 μB per formula unit
* density of states at the Fermi level: 2.53 states/eV/f.u.
* offset from the most stable computed form: 219.9 meV per atom
* ΔE_f (raw): 221 meV/atom

Lattice parameters (Å, degrees): 4.648 4.648 7.796 72.66 72.66 90.00
Element x y z (fractional)
Tl: 0.750 0.250 0.500
Tl: 0.250 0.750 0.500
Hg: 0.402 0.402 0.196
Hg: 0.598 0.598 0.804
Sb: 0.000 0.000 0.000